## Rb3CeV2O8 (PBE+U)

Data for crystalline Rb3CeV2O8 at its relaxed geometry.

**VASP energy**: -6.804 eV per atom
**Total moment**: 1.0 μB per formula unit

Cell and atoms, written as CIF:
```
data_Rb3CeV2O8
_chemical_formula_sum 'Rb3 Ce1 V2 O8'
_cell_length_a 6.179
_cell_length_b 6.179
_cell_length_c 8.060
_cell_angle_alpha 90.00
_cell_angle_beta 90.00
_cell_angle_gamma 120.00
_symmetry_space_group_name_H-M 'P 1'
_symmetry_Int_Tables_number 1
loop_
_symmetry_equiv_pos_as_xyz
'x,y,z'
loop_
_atom_site_label
_atom_site_type_symbol
_atom_site_fract_x
_atom_site_fract_y
_atom_site_fract_z
Rb1 Rb 0.667 0.333 0.297
V1 V 0.667 0.333 0.748
O1 O 0.354 0.177 0.672
O2 O 0.646 0.823 0.328
O3 O 0.667 0.333 0.956
O4 O 0.823 0.177 0.672
Rb2 Rb 0.333 0.667 0.703
O5 O 0.823 0.646 0.672
Rb3 Rb 0.000 0.000 0.000
O6 O 0.177 0.354 0.328
O7 O 0.333 0.667 0.044
Ce1 Ce 0.000 0.000 0.500
O8 O 0.177 0.823 0.328
V2 V 0.333 0.667 0.252
```